Record 1
VASP calculation (PBE) on a geometry-optimized Tb2ThCd structure.

a = 12.1160 Å, b = 12.1160 Å, c = 12.1160 Å
α = 16.77°, β = 16.77°, γ = 16.77°
With the nearest neighbours (Å) after each atom.
Fractional positions:
Tb (0.0894, 0.0894, 0.0894)  1 Cd 3.20, 3 Th 3.44, 6 Tb 3.53
Tb (0.9106, 0.9106, 0.9106)  1 Cd 3.20, 3 Th 3.44, 6 Tb 3.53
Th (0.5000, 0.5000, 0.5000)  6 Tb 3.44, 6 Th 3.53
Cd (0.0000, 0.0000, 0.0000)  2 Tb 3.20, 6 Cd 3.53

## Properties
Total DFT energy (no corrections) in eV per formula unit: -16.98
Fermi-level density of states in states/eV/cell: 4.57
M_tot in Bohr magnetons per cell: 0.0
Calculated density in g/cm³: 8.5
Energy relative to the elements in eV per atom: 0.16

Record 2
VASP calculation (PBE) on a geometry-optimized Na2Tb2IrO6 structure.

a = 5.7634 Å, b = 5.7634 Å, c = 5.9029 Å
α = 97.32°, β = 97.32°, γ = 120.18°
With the nearest neighbours (Å) after each atom.
Fractional positions:
Na (0.1437, 0.8563, 0.0000)  4 O 2.37-2.42
Na (0.8563, 0.1437, 0.0000)  4 O 2.37-2.42
Tb (0.3380, 0.6620, 0.5000)  6 O 2.28-2.31
Tb (0.6620, 0.3380, 0.5000)  6 O 2.28-2.31
Ir (0.0000, 0.0000, 0.5000)  6 O 2.08-2.10
O (0.0405, 0.3527, 0.6925)  1 Ir 2.08, 2 Tb 2.28-2.31
O (0.2492, 0.2492, 0.2947)  1 Ir 2.10, 2 Tb 2.30
O (0.3527, 0.0405, 0.6925)  1 Ir 2.08, 2 Tb 2.28-2.31
O (0.6473, 0.9595, 0.3075)  1 Ir 2.08, 2 Tb 2.28-2.31
O (0.7508, 0.7508, 0.7053)  1 Ir 2.10, 2 Tb 2.30
O (0.9595, 0.6473, 0.3075)  1 Ir 2.08, 2 Tb 2.28-2.31

## Properties
Raw formation energy in eV per atom: -2.14
Total DFT energy (no corrections) in eV per formula unit: -74.09
Fermi-level density of states in states/eV/cell: 6.58
M_tot in Bohr magnetons per cell: 1.1
Calculated density in g/cm³: 6.6

Record 3
VASP calculation (PBE) on a geometry-optimized CsLaB6C6 structure.

a = 4.9907 Å, b = 4.9907 Å, c = 4.9907 Å
α = 90.00°, β = 90.00°, γ = 90.00°
With the nearest neighbours (Å) after each atom.
Fractional positions:
Cs (0.0000, 0.0000, 0.0000)  12 B 2.79, 12 C 2.81
La (0.5000, 0.5000, 0.5000)  12 C 2.77, 12 B 2.79
B (0.0000, 0.2504, 0.5000)  4 C 1.73-1.80
B (0.0000, 0.7496, 0.5000)  4 C 1.73-1.80
B (0.2504, 0.5000, 0.0000)  4 C 1.73-1.80
B (0.5000, 0.0000, 0.2504)  4 C 1.73-1.80
B (0.5000, 0.0000, 0.7496)  4 C 1.73-1.80
B (0.7496, 0.5000, 0.0000)  4 C 1.73-1.80
C (0.0000, 0.5000, 0.2607)  4 B 1.73-1.80
C (0.0000, 0.5000, 0.7393)  4 B 1.73-1.80
C (0.2607, 0.0000, 0.5000)  4 B 1.73-1.80
C (0.5000, 0.2607, 0.0000)  4 B 1.73-1.80
C (0.5000, 0.7393, 0.0000)  4 B 1.73-1.80
C (0.7393, 0.0000, 0.5000)  4 B 1.73-1.80

## Properties
Total DFT energy (no corrections) in eV per formula unit: -95.54
Fermi-level density of states in states/eV/cell: 2.55
M_tot in Bohr magnetons per cell: 0.0
Calculated density in g/cm³: 5.5
Energy relative to the elements in eV per atom: 0.40

Record 4
VASP calculation (PBE) on a geometry-optimized In2HgBr structure.

a = 8.3952 Å, b = 8.3952 Å, c = 8.3952 Å
α = 131.04°, β = 131.04°, γ = 71.75°
With the nearest neighbours (Å) after each atom.
Fractional positions:
In (0.1045, 0.6250, 0.9795)  2 Hg 2.91, 2 Br 3.08
In (0.3750, 0.3545, 0.4795)  2 Hg 2.91, 2 Br 3.08
In (0.6455, 0.1250, 0.0205)  2 Hg 2.91, 2 Br 3.08
In (0.8750, 0.8955, 0.5205)  2 Hg 2.91, 2 Br 3.08
Hg (0.0000, 0.0000, 0.0000)  4 In 2.91
Hg (0.7500, 0.2500, 0.5000)  4 In 2.91
Br (0.2500, 0.7500, 0.5000)  4 In 3.08
Br (0.5000, 0.5000, 0.0000)  4 In 3.08

## Properties
Raw formation energy in eV per atom: -0.10
Total DFT energy (no corrections) in eV per formula unit: -7.86
Fermi-level density of states in states/eV/cell: 4.96
M_tot in Bohr magnetons per cell: 0.0
Calculated density in g/cm³: 5.1

Record 5
VASP calculation (PBE) on a geometry-optimized LaY4Tm3 structure.

a = 8.8619 Å, b = 8.8619 Å, c = 8.8619 Å
α = 157.71°, β = 97.64°, γ = 86.66°
With the nearest neighbours (Å) after each atom.
Fractional positions:
La (0.0000, 0.0000, 0.0000)  4 Y 3.41, 2 La 3.43, 4 Tm 3.57
Y (0.1184, 0.8662, 0.2521)  3 Tm 3.30-3.69, 1 La 3.41, 5 Y 3.43-3.45
Y (0.3859, 0.1338, 0.2521)  3 Tm 3.30-3.69, 1 La 3.41, 5 Y 3.43-3.45
Y (0.6141, 0.8662, 0.7479)  3 Tm 3.30-3.69, 1 La 3.41, 5 Y 3.43-3.45
Y (0.8816, 0.1338, 0.7479)  3 Tm 3.30-3.69, 1 La 3.41, 5 Y 3.43-3.45
Tm (0.2433, 0.7433, 0.5000)  6 Y 3.30-3.69, 2 Tm 3.43, 2 La 3.57
Tm (0.5000, 0.5000, 0.0000)  6 Tm 3.43-3.73, 8 Y 3.78
Tm (0.7567, 0.2567, 0.5000)  6 Y 3.30-3.69, 2 Tm 3.43, 2 La 3.57

## Properties
Total DFT energy (no corrections) in eV per formula unit: -43.02
Fermi-level density of states in states/eV/cell: 15.91
M_tot in Bohr magnetons per cell: 0.0
Calculated density in g/cm³: 6.5
Energy relative to the elements in eV per atom: 0.15

Record 6
VASP calculation (PBE) on a geometry-optimized SiP2Se structure.

a = 4.4493 Å, b = 4.4493 Å, c = 4.4493 Å
α = 109.29°, β = 109.29°, γ = 109.83°
With the nearest neighbours (Å) after each atom.
Fractional positions:
Si (0.0000, 0.0000, 0.0000)  2 Se 2.56, 4 P 2.57
P (0.0000, 0.5000, 0.5000)  2 P 2.56, 2 Se 2.57, 2 Si 2.57
P (0.5000, 0.0000, 0.5000)  2 P 2.56, 2 Se 2.57, 2 Si 2.57
Se (0.5000, 0.5000, 0.0000)  2 Si 2.56, 4 P 2.57

## Properties
Raw formation energy in eV per atom: 0.19
Total DFT energy (no corrections) in eV per formula unit: -18.95
Fermi-level density of states in states/eV/cell: 0.89
M_tot in Bohr magnetons per cell: 0.0
Calculated density in g/cm³: 4.1

> The highest Fermi-level density of states belongs to which entry?

LaY4Tm3

> Which value of M_tot does entry 4 give?

0.0 Bohr magnetons per cell

> Among the records above, which one has the highest Fermi-level density of states?

LaY4Tm3

> Look up the Fermi-level density of states of the sixth one.

0.89 states/eV/cell